Record 1
An optimized crystal structure of LiSc2MnC. Source: Alexandria via LeMat-Bulk, functional GGA-PBE.

The structure belongs to space group P4/mmm (No. 123); the cell edges are 4.6108, 4.6108 and 3.7598 Å and the angles 90.00°, 90.00° and 90.00°. The inequivalent atoms are Li at (0.0000, 0.0000, 0.0000), Sc at (0.0000, 0.5000, 0.5000), Mn at (0.5000, 0.5000, 0.0000) and C at (0.5000, 0.5000, 0.5000).

As for the total energy: -6.77 eV per atom. The density comes out at 3.403 Mg/m³. As for the crystal system: tetragonal. The formation energy comes out at -0.174 eV per atom.

Record 2
An optimized crystal structure of Dy6Ho12Sc. Source: Alexandria via LeMat-Bulk, functional GGA-PBE.

The structure belongs to space group R-3m (No. 166, hexagonal axes); the cell edges are 16.2761, 16.2761 and 8.2159 Å and the angles 90.00°, 90.00° and 120.00°. The inequivalent atoms are Dy at (0.1060, 0.2120, 0.0760), Ho at (0.0000, 0.3834, 0.0000), Ho at (0.1049, 0.2097, 0.6340) and Sc at (0.0000, 0.0000, 0.5000).

As for the total energy: -4.30 eV per atom. The density comes out at 7.926 Mg/m³. As for the crystal system: trigonal. The formation energy comes out at 0.376 eV per atom. The calculation puts the energy above the most stable polymorph in this dataset at 218 meV/atom.

Record 3
An optimized crystal structure of ZrIr2Se. Source: Alexandria via LeMat-Bulk, functional GGA-PBE.

The structure belongs to space group P2/m (No. 10); the cell edges are 3.0525, 4.3339 and 5.3106 Å and the angles 90.00°, 105.36° and 90.00°. The inequivalent atoms are Zr at (0.0000, 0.0000, 0.0000), Ir at (0.3775, 0.5000, 0.7383) and Se at (0.5000, 0.0000, 0.5000).

As for the total energy: -7.75 eV per atom. The density comes out at 13.595 Mg/m³. As for the crystal system: monoclinic. The uncorrected formation energy is -0.312 eV per atom.

Record 4
An optimized crystal structure of RbZnSn. Source: Alexandria via LeMat-Bulk, functional GGA-PBE.

The structure belongs to space group P-6m2 (No. 187); the cell edges are 4.6401, 4.6401 and 5.8382 Å and the angles 90.00°, 90.00° and 120.00°. The inequivalent atoms are Rb at (0.0000, 0.0000, 0.0000), Zn at (0.3333, 0.6667, 0.5000) and Sn at (0.6667, 0.3333, 0.5000).

As for the total energy: -2.15 eV per atom. The density comes out at 4.112 Mg/m³. As for the crystal system: hexagonal. The formation energy comes out at -0.065 eV per atom. The calculation puts the energy above the most stable polymorph in this dataset at 50 meV/atom.

Record 5
An optimized crystal structure of SrMg2CuF8. Source: Alexandria via LeMat-Bulk, functional GGA-PBE.

The structure belongs to space group Cmmm (No. 65); the cell edges are 6.8731, 7.3005 and 6.5159 Å and the angles 90.00°, 90.00° and 90.00°. The inequivalent atoms are Sr at (0.0000, 0.0000, 0.0000), Mg at (0.0000, 0.5000, 0.2678), Cu at (0.0000, 0.0000, 0.5000), F at (0.0000, 0.3176, 0.5000), F at (0.0000, 0.3330, 0.0000) and F at (0.2060, 0.0000, 0.2891).

As for the total energy: -5.05 eV per atom. The density comes out at 3.573 Mg/m³. As for the crystal system: orthorhombic. The uncorrected formation energy is -3.054 eV per atom.

Record 6
An optimized crystal structure of KTlGe2. Source: Alexandria via LeMat-Bulk, functional GGA-PBE.

The structure belongs to space group I4_1/amd (No. 141, origin choice 2); the cell edges are 5.2641, 5.2641 and 20.1799 Å and the angles 90.00°, 90.00° and 90.00°. The inequivalent atoms are K at (0.0000, 0.2500, 0.3750), Tl at (0.0000, 0.2500, 0.8750) and Ge at (0.0000, 0.0000, 0.0000).

As for the total energy: -2.98 eV per atom. The density comes out at 4.618 Mg/m³. As for the crystal system: tetragonal. The formation energy comes out at 0.200 eV per atom. The calculation puts the energy above the most stable polymorph in this dataset at 0 meV/atom.

Record 7
An optimized crystal structure of RbAlPb2Se. Source: Alexandria via LeMat-Bulk, functional GGA-PBE.

The structure belongs to space group P4/mmm (No. 123); the cell edges are 5.9852, 5.9852 and 5.1005 Å and the angles 90.00°, 90.00° and 90.00°. The inequivalent atoms are Rb at (0.0000, 0.0000, 0.0000), Al at (0.5000, 0.5000, 0.0000), Pb at (0.0000, 0.5000, 0.5000) and Se at (0.5000, 0.5000, 0.5000).

As for the total energy: -2.97 eV per atom. The density comes out at 5.506 Mg/m³. As for the crystal system: tetragonal. The uncorrected formation energy is 0.157 eV per atom.

Record 8
An optimized crystal structure of In2PtPb. Source: Alexandria via LeMat-Bulk, functional GGA-PBE.

The structure belongs to space group Immm (No. 71); the cell edges are 3.5419, 5.5111 and 9.9986 Å and the angles 90.00°, 90.00° and 90.00°. The inequivalent atoms are In at (0.0000, 0.0000, 0.2124), Pt at (0.0000, 0.5000, 0.5000) and Pb at (0.0000, 0.5000, 0.0000).

As for the total energy: -3.88 eV per atom. The density comes out at 10.753 Mg/m³. As for the crystal system: orthorhombic. The formation energy comes out at -0.074 eV per atom.

Record 9
An optimized crystal structure of RbZn2AsBr. Source: Alexandria via LeMat-Bulk, functional GGA-PBE.

The structure belongs to space group P4/mmm (No. 123); the cell edges are 5.3668, 5.3668 and 6.2363 Å and the angles 90.00°, 90.00° and 90.00°. The inequivalent atoms are Rb at (0.0000, 0.0000, 0.0000), Zn at (0.0000, 0.5000, 0.5000), As at (0.5000, 0.5000, 0.0000) and Br at (0.0000, 0.0000, 0.5000).

As for the total energy: -1.58 eV per atom. The density comes out at 3.431 Mg/m³. As for the crystal system: tetragonal. The uncorrected formation energy is 0.390 eV per atom.

Record 10
An optimized crystal structure of PtWCl2. Source: Alexandria via LeMat-Bulk, functional GGA-PBE.

The structure belongs to space group P4/mmm (No. 123); the cell edges are 2.9061, 2.9061 and 8.4804 Å and the angles 90.00°, 90.00° and 90.00°. The inequivalent atoms are Pt at (0.0000, 0.0000, 0.0000), W at (0.0000, 0.0000, 0.5000) and Cl at (0.5000, 0.5000, 0.3182).

As for the total energy: -4.90 eV per atom. The density comes out at 10.430 Mg/m³. As for the crystal system: tetragonal. The calculation puts the energy above the most stable polymorph in this dataset at 929 meV/atom. The uncorrected formation energy is 0.770 eV per atom.

Record 11
An optimized crystal structure of ZnAs2Pb. Source: Alexandria via LeMat-Bulk, functional GGA-PBE.

The structure belongs to space group P2/m (No. 10); the cell edges are 4.2665, 3.8443 and 6.0507 Å and the angles 90.00°, 110.50° and 90.00°. The inequivalent atoms are Zn at (0.0000, 0.0000, 0.0000), As at (0.2452, 0.5000, 0.8187) and Pb at (0.5000, 0.0000, 0.5000).

As for the total energy: -3.48 eV per atom. The density comes out at 7.546 Mg/m³. As for the crystal system: monoclinic. The formation energy comes out at 0.085 eV per atom.

Record 12
An optimized crystal structure of CdNiIr2. Source: Alexandria via LeMat-Bulk, functional GGA-PBE.

The structure belongs to space group P2/m (No. 10); the cell edges are 2.7634, 4.3452 and 5.2303 Å and the angles 90.00°, 105.27° and 90.00°. The inequivalent atoms are Cd at (0.0000, 0.0000, 0.0000), Ni at (0.0000, 0.0000, 0.5000) and Ir at (0.3654, 0.5000, 0.7242).

As for the total energy: -5.88 eV per atom. The density comes out at 15.226 Mg/m³. As for the crystal system: monoclinic. The formation energy comes out at 0.221 eV per atom.